A relaxed structure of Na3VSO3. Source: Alexandria via LeMat-Bulk, functional PBEsol.

Summary:
- Magnetization: 0.00 μB per formula unit
- Final energy: -6.137 eV per atom
- SG: No. 161
- Density of states at the Fermi level: 0.00 states/eV per atom

abc: 6.371 6.371 6.371
angles: 84.01 84.01 84.01
Fractional coordinates of all 16 atoms:
Na1 0.000 0.310 0.690
Na2 0.190 0.810 0.500
Na3 0.310 0.690 0.000
Na4 0.500 0.190 0.810
Na5 0.690 0.000 0.310
Na6 0.810 0.500 0.190
V1 0.282 0.282 0.282
V2 0.782 0.782 0.782
S1 0.099 0.099 0.099
S2 0.599 0.599 0.599
O1 0.015 0.637 0.826
O2 0.137 0.515 0.326
O3 0.326 0.137 0.515
O4 0.515 0.326 0.137
O5 0.637 0.826 0.015
O6 0.826 0.015 0.637